Entry from Alexandria via LeMat-Bulk: crystalline NaPu2Ir at its relaxed geometry (PBE).

The space group is P4/mmm (No. 123) and the conventional cell measures 3.3532, 3.3532 and 9.5075 Å, with angles of 90.00, 90.00 and 90.00 degrees. The inequivalent atoms are Na at (0.0000, 0.0000, 0.0000), Pu at (0.5000, 0.5000, 0.3192) and Ir at (0.0000, 0.0000, 0.5000).

For the energy of formation from the pure elements, the calculation gives -0.098 eV/atom. The density of states at the Fermi level comes out at 13.13 states/eV per cell. As for the total magnetization: 11.5 μB per cell. For the volume, the calculation gives 106.9 Å³/f.u. As for the offset from the most stable computed form: 0 meV/atom. Its raw total energy is -39.2 eV/f.u.

***

Entry from Alexandria via LeMat-Bulk: crystalline NaPuIr at its relaxed geometry (PBE).

The space group is C2/m (No. 12) and the conventional cell measures 6.3792, 6.9413 and 7.4449 Å, with angles of 90.00, 103.32 and 90.00 degrees. The inequivalent atoms are Na at (0.1944, 0.0000, 0.1916), Pu at (0.2307, 0.5000, 0.3083) and Ir at (0.0000, 0.2771, 0.5000).

For the energy of formation from the pure elements, the calculation gives 0.080 eV/atom. The density of states at the Fermi level comes out at 34.19 states/eV per cell. As for the total magnetization: 20.5 μB per cell. For the volume, the calculation gives 80.2 Å³/f.u. Its raw total energy is -24.3 eV/f.u.

***

Entry from Alexandria via LeMat-Bulk: crystalline NaPu2Ir at its relaxed geometry (PBE).

The space group is R-3m (No. 166, hexagonal axes) and the conventional cell measures 2.9539, 2.9539 and 35.2354 Å, with angles of 90.00, 90.00 and 120.00 degrees. The inequivalent atoms are Na at (0.0000, 0.0000, 0.0000), Pu at (0.0000, 0.0000, 0.0968) and Ir at (0.0000, 0.0000, 0.5000).

For the energy of formation from the pure elements, the calculation gives 0.286 eV/atom. The density of states at the Fermi level comes out at 34.84 states/eV per cell. As for the total magnetization: 30.0 μB per cell. For the volume, the calculation gives 88.7 Å³/f.u. As for the offset from the most stable computed form: 384 meV/atom. Its raw total energy is -37.7 eV/f.u.

***

Entry from Alexandria via LeMat-Bulk: crystalline Na4Pu3IrS8 at its relaxed geometry (PBE).

The space group is R-3m (No. 166, hexagonal axes) and the conventional cell measures 7.7656, 7.7656 and 20.1314 Å, with angles of 90.00, 90.00 and 120.00 degrees. The inequivalent atoms are Na at (0.0000, 0.0000, 0.0000), Na at (0.0000, 0.5000, 0.0000), Pu at (0.0000, 0.5000, 0.5000), Ir at (0.0000, 0.0000, 0.5000), S at (0.0000, 0.0000, 0.2434) and S at (0.0292, 0.5146, 0.2389).

The density of states at the Fermi level comes out at 72.20 states/eV per cell. As for the total magnetization: 44.8 μB per cell. For the volume, the calculation gives 350.5 Å³/f.u. The uncorrected formation energy comes out at -121 kJ per mole of atoms. Its raw total energy is -110.3 eV/f.u.